Entry 1:
{
  "formula": "NaLi2Tl4",
  "functional": "PBE",
  "state": "optimized geometry",
  "cell": [[-0.629, -6.151, 0.190], [0.732, -3.187, -5.100], [4.943, 1.207, 3.519]],
  "species": ["Na", "Li", "Li", "Tl", "Tl", "Tl", "Tl"],
  "frac_coords": [[0.000, 0.000, 0.000], [0.501, 0.752, 0.499], [0.499, 0.248, 0.501], [0.597, 0.699, 0.994], [0.403, 0.301, 0.006], [0.994, 0.301, 0.597], [0.006, 0.699, 0.403]],
  "volume_a3_per_cell": 177.2,
  "relative_energy_mev_per_atom": 0
}


Entry 2:
{
  "formula": "NaLiTl",
  "functional": "PBE",
  "state": "optimized geometry",
  "cell": [[-2.954, -0.680, -3.545], [-3.082, -3.425, 0.725], [-7.438, 3.739, 2.181]],
  "species": ["Na", "Na", "Li", "Li", "Tl", "Tl"],
  "frac_coords": [[0.270, 0.270, 0.617], [0.730, 0.730, 0.383], [0.848, 0.848, 0.949], [0.152, 0.152, 0.051], [0.447, 0.447, 0.191], [0.553, 0.553, 0.809]],
  "volume_a3_per_cell": 160.3,
  "relative_energy_mev_per_atom": 49
}


Entry 3:
{
  "formula": "Na3LiTl5",
  "functional": "PBE",
  "state": "optimized geometry",
  "cell": [[3.479, 0.000, 0.000], [0.000, 7.736, -4.466], [0.000, 0.000, 8.933]],
  "species": ["Na", "Na", "Na", "Li", "Tl", "Tl", "Tl", "Tl", "Tl"],
  "frac_coords": [[0.000, 0.373, 0.373], [0.000, 0.000, 0.627], [0.000, 0.627, 0.000], [0.000, 0.000, 0.000], [0.500, 0.333, 0.667], [0.500, 0.667, 0.333], [0.500, 0.277, 0.000], [0.500, 0.000, 0.277], [0.500, 0.723, 0.723]],
  "volume_a3_per_cell": 240.5,
  "relative_energy_mev_per_atom": 0
}


Number 1: formation enthalpy at 0 K -0.87 eV per formula unit, raw total energy -2.21 eV/atom. Number 2: formation enthalpy at 0 K -0.24 eV per formula unit, raw total energy -1.95 eV/atom. Number 3: formation enthalpy at 0 K -1.05 eV per formula unit, raw total energy -2.08 eV/atom.